Density functional theory data (GGA-PBE) for a geometry-optimized Gd2ThCo structure.

Summary:
Energy of formation ... 0.19 eV per atom
E ... -41.932 eV per cell
Distance to the lowest polymorph of the same formula ... 198 meV/atom
Total moment ... 14.5 μB per formula unit

abc: 3.551 3.551 10.566
angles: 80.33 80.33 60.00
Element x y z (fractional)
Gd 0.112 0.112 0.663
Gd 0.888 0.888 0.337
Co 0.500 0.500 0.500
Th 0.000 0.000 0.000